Entry from Alexandria: a relaxed YZnRh crystal (PBEsol).

Cell: 5.2570 5.2570 5.4709 Å, 90.00 90.00 133.89°
Fractional positions:
Y1 0.2092 0.7908 0.7500
Y2 0.7908 0.2092 0.2500
Zn1 0.5000 0.5000 0.0000
Zn2 0.5000 0.5000 0.5000
Rh1 0.0851 0.9149 0.2500
Rh2 0.9149 0.0851 0.7500

The calculated volume comes out at 18.16 A^3/atom. As for the magnetization: 0.00 μB/f.u. The formation energy comes out at -0.684 eV per atom. The electronic total energy is -6.198 eV per atom. The space group is Cmcm.